DFT (GGA-PBE) results for a geometry-optimized Sr2YTl structure.

a = 5.381 Å, b = 4.047 Å, c = 14.315 Å
α = 90.00°, β = 90.00°, γ = 90.00°
Space group Amm2 (No. 38)
One atom of each set of equivalent atoms:
Sr 0.000 0.000 0.000
Sr 0.500 0.000 0.331
Y 0.000 0.000 0.715
Tl 0.500 0.000 0.602

Results
* formation energy from the elements: -76 meV per atom
* relative energy among the computed polymorphs: 58 meV per atom